# 1
# PBE BaHfPd, optimized geometry
data_BaHfPd
_space_group_name_H-M_alt 'F -4 3 m'
_space_group_IT_number 216
_space_group_name_Hall 'F -4 2 3'
_cell_length_a 6.936
_cell_length_b 6.936
_cell_length_c 6.936
_cell_angle_alpha 90.00
_cell_angle_beta 90.00
_cell_angle_gamma 90.00
loop_
_atom_site_label
_atom_site_type_symbol
_atom_site_fract_x
_atom_site_fract_y
_atom_site_fract_z
_atom_site_occupancy
Ba1 Ba 0.000 0.000 0.000 1
Hf1 Hf 0.250 0.250 0.750 1
Pd1 Pd 0.250 0.250 0.250 1
# * size of the total moment: 0.0 Bohr magnetons per cell
# * ΔE to the lowest computed polymorph: 729 meV/atom

# 2
# PBE SrNbNO, optimized geometry
data_SrNbNO
_space_group_name_H-M_alt 'P 4/n m m'
_space_group_IT_number 129
_cell_length_a 4.117
_cell_length_b 4.117
_cell_length_c 9.339
_cell_angle_alpha 90.00
_cell_angle_beta 90.00
_cell_angle_gamma 90.00
loop_
_space_group_symop_operation_xyz
'x,y,z'
'-x,-y,-z'
'-y+1/2,x,z'
'y+1/2,-x,-z'
'-x+1/2,-y+1/2,z'
'x+1/2,y+1/2,-z'
'y,-x+1/2,z'
'-y,x+1/2,-z'
'x+1/2,-y,-z'
'-x+1/2,y,z'
'-y,-x,-z'
'y,x,z'
'-x,y+1/2,-z'
'x,-y+1/2,z'
'y+1/2,x+1/2,-z'
'-y+1/2,-x+1/2,z'
loop_
_atom_site_label
_atom_site_type_symbol
_atom_site_fract_x
_atom_site_fract_y
_atom_site_fract_z
_atom_site_occupancy
Sr1 Sr 0.250 0.250 0.120 1
Nb1 Nb 0.250 0.750 0.500 1
N1 N 0.250 0.250 0.555 1
O1 O 0.250 0.750 0.000 1
# * size of the total moment: 0.0 Bohr magnetons per cell
# * ΔE to the lowest computed polymorph: 303 meV/atom